No. 1
LaH2Br: relaxed, PBE-GGA.

Cell lengths 4.468, 4.468, 4.468 Å; angles 60.00, 60.00, 60.00 degrees
Element x y z (fractional)
H 0.250 0.250 0.250
H 0.750 0.750 0.750
Br 0.000 0.000 0.000
La 0.500 0.500 0.500

## Properties
crystal system	cubic
distance to the lowest polymorph of the same formula	36.6	kJ/mol of atoms

No. 2
CoSbPb: relaxed, PBE-GGA.

Cell lengths 6.709, 6.670, 6.691 Å; angles 71.72, 68.33, 90.34 degrees
Element x y z (fractional)
Sb 0.115 0.175 0.294
Sb 0.201 0.332 0.756
Sb 0.649 0.357 0.241
Sb 0.381 0.816 0.718
Co 0.045 0.535 0.056
Co 0.445 0.434 0.952
Co 0.454 0.012 0.302
Co 0.062 0.006 0.708
Pb 0.853 0.658 0.726
Pb 0.848 0.868 0.180
Pb 0.656 0.135 0.809
Pb 0.299 0.671 0.257

## Properties
formation energy without anion corrections	0.18	eV per formula unit
crystal system	triclinic

No. 3
LiMg4Ir2: relaxed, PBE-GGA.

Cell lengths 6.703, 6.725, 6.722 Å; angles 120.02, 90.00, 90.00 degrees
Element x y z (fractional)
Li 0.000 0.000 0.000
Li 0.500 0.500 0.000
Mg 0.750 0.750 0.000
Mg 0.750 0.500 0.500
Mg 0.750 0.000 0.500
Mg 0.750 0.250 0.000
Mg 0.250 0.750 0.000
Mg 0.250 0.000 0.500
Mg 0.250 0.500 0.500
Mg 0.250 0.250 0.000
Ir 0.000 0.613 0.225
Ir 0.000 0.387 0.775
Ir 0.500 0.887 0.775
Ir 0.500 0.113 0.225

## Properties
crystal system	orthorhombic
energy of formation from the pure elements	22	meV per atom

No. 4
Mg2FePb: relaxed, PBE-GGA.

Cell lengths 4.834, 4.834, 4.834 Å; angles 60.00, 60.00, 60.00 degrees
Last column: magnetic moment on the atom in μB.
Element x y z (fractional)
Fe 0.500 0.500 0.500  2.42
Mg 0.000 0.000 0.000  -0.01
Mg 0.250 0.250 0.250  -0.03
Pb 0.750 0.750 0.750  -0.01

## Properties
crystal system	cubic
energy of formation from the pure elements	363	meV per atom